# Nd6Os2Rh PBE optimized geometry
data_Nd6Os2Rh
_symmetry_space_group_name_H-M 'P 1'
_symmetry_Int_Tables_number 1
_cell_length_a 6.856
_cell_length_b 7.571
_cell_length_c 11.921
_cell_angle_alpha 90.00
_cell_angle_beta 124.37
_cell_angle_gamma 90.00
loop_
_symmetry_equiv_pos_as_xyz
'x,y,z'
loop_
_atom_site_label
_atom_site_type_symbol
_atom_site_fract_x
_atom_site_fract_y
_atom_site_fract_z
_atom_site_occupancy
Nd1 Nd 0.080 0.056 0.242 1
Nd2 Nd 0.080 0.444 0.742 1
Nd3 Nd 0.231 0.672 0.072 1
Nd4 Nd 0.231 0.828 0.572 1
Nd5 Nd 0.395 0.172 0.070 1
Nd6 Nd 0.395 0.328 0.570 1
Nd7 Nd 0.605 0.672 0.430 1
Nd8 Nd 0.605 0.828 0.930 1
Nd9 Nd 0.769 0.172 0.428 1
Nd10 Nd 0.769 0.328 0.928 1
Nd11 Nd 0.920 0.556 0.258 1
Nd12 Nd 0.920 0.944 0.758 1
Os1 Os 0.295 0.113 0.758 1
Os2 Os 0.295 0.387 0.258 1
Os3 Os 0.705 0.613 0.742 1
Os4 Os 0.705 0.887 0.242 1
Rh1 Rh 0.500 0.000 0.500 1
Rh2 Rh 0.500 0.500 0.000 1
# ΔH_f (0 K): -0.16 eV/atom

# Nd8OsRh2 PBE optimized geometry
data_Nd8OsRh2
_symmetry_space_group_name_H-M 'P 1'
_symmetry_Int_Tables_number 1
_cell_length_a 9.305
_cell_length_b 9.305
_cell_length_c 6.916
_cell_angle_alpha 98.47
_cell_angle_beta 98.47
_cell_angle_gamma 31.90
loop_
_symmetry_equiv_pos_as_xyz
'x,y,z'
loop_
_atom_site_label
_atom_site_type_symbol
_atom_site_fract_x
_atom_site_fract_y
_atom_site_fract_z
_atom_site_occupancy
Nd1 Nd 0.039 0.039 0.285 1
Nd2 Nd 0.200 0.200 0.840 1
Nd3 Nd 0.335 0.335 0.544 1
Nd4 Nd 0.414 0.414 0.080 1
Nd5 Nd 0.586 0.586 0.920 1
Nd6 Nd 0.665 0.665 0.456 1
Nd7 Nd 0.800 0.800 0.160 1
Nd8 Nd 0.961 0.961 0.715 1
Os1 Os 0.500 0.500 0.500 1
Rh1 Rh 0.212 0.212 0.241 1
Rh2 Rh 0.788 0.788 0.759 1
# ΔH_f (0 K): -0.27 eV/atom
# Excess energy over the best structure of this formula in the dataset: 0.000 eV per atom

# NdThOsRh PBE optimized geometry
data_NdThOsRh
_symmetry_space_group_name_H-M 'P 1'
_symmetry_Int_Tables_number 1
_cell_length_a 5.022
_cell_length_b 5.022
_cell_length_c 5.022
_cell_angle_alpha 60.00
_cell_angle_beta 60.00
_cell_angle_gamma 60.00
loop_
_symmetry_equiv_pos_as_xyz
'x,y,z'
loop_
_atom_site_label
_atom_site_type_symbol
_atom_site_fract_x
_atom_site_fract_y
_atom_site_fract_z
_atom_site_occupancy
Nd1 Nd 0.000 0.000 0.000 1
Th1 Th 0.500 0.500 0.500 1
Os1 Os 0.250 0.250 0.250 1
Rh1 Rh 0.750 0.750 0.750 1
# ΔH_f (0 K): -0.38 eV/atom

Quick rundown of magnetization, same order as above: 0.000 0.000 0.000 μB/f.u.
Quick rundown of calculated total energy, same order as above: -119.79 -67.03 -32.30 eV for the cell shown